Here is an optimized crystal structure of TlIrCl6 from the Alexandria database. Energies are from PBE.

Computed properties:
density of states at the Fermi level = 9.8 states/eV/cell
electronic total energy = -3.357 eV per atom
ΔE_f (raw) = -439 kJ/mol of formula units

abc: 6.8113 6.8113 9.9560
angles: 92.38 92.38 68.62
Atoms (fractional coordinates):
Tl1 0.0107 0.9893 0.7500
Tl2 0.9893 0.0107 0.2500
Ir1 0.0000 0.5000 0.0000
Ir2 0.5000 0.0000 0.5000
Cl1 0.1434 0.2154 0.4925
Cl2 0.1576 0.5635 0.1993
Cl3 0.2154 0.1434 0.9925
Cl4 0.2317 0.5966 0.8766
Cl5 0.4034 0.7683 0.6234
Cl6 0.4365 0.8424 0.3007
Cl7 0.5635 0.1576 0.6993
Cl8 0.5966 0.2317 0.3766
Cl9 0.7683 0.4034 0.1234
Cl10 0.7846 0.8566 0.0075
Cl11 0.8424 0.4365 0.8007
Cl12 0.8566 0.7846 0.5075

Here is an optimized crystal structure of TlIrCl2 from the Alexandria database. Energies are from PBE.

Computed properties:
density of states at the Fermi level = 3.8 states/eV/cell
electronic total energy = -3.233 eV per atom
ΔE_f (raw) = 192 kJ/mol of formula units

abc: 3.1870 4.4992 5.6280
angles: 90.00 90.00 90.00
Atoms (fractional coordinates):
Tl1 0.0000 0.0000 0.0000
Ir1 0.5000 0.0000 0.5000
Cl1 0.0000 0.5000 0.5000
Cl2 0.5000 0.5000 0.0000

Here is an optimized crystal structure of TlIrCl2 from the Alexandria database. Energies are from PBE.

Computed properties:
density of states at the Fermi level = 4.2 states/eV/cell
electronic total energy = -3.203 eV per atom
ΔE_f (raw) = 203 kJ/mol of formula units

abc: 5.4505 5.4505 3.5007
angles: 107.13 107.13 111.35
Atoms (fractional coordinates):
Tl1 0.0000 0.0000 0.0000
Ir1 0.5000 0.5000 0.0000
Cl1 0.0000 0.5000 0.5000
Cl2 0.5000 0.0000 0.5000

Here is an optimized crystal structure of TlIrCl3 from the Alexandria database. Energies are from PBE.

Computed properties:
density of states at the Fermi level = 3.1 states/eV/cell
electronic total energy = -3.676 eV per atom
ΔE_f (raw) = -156 kJ/mol of formula units

abc: 4.9156 4.9156 4.9156
angles: 90.00 90.00 90.00
Atoms (fractional coordinates):
Tl1 0.0000 0.0000 0.0000
Ir1 0.5000 0.5000 0.5000
Cl1 0.0000 0.5000 0.5000
Cl2 0.5000 0.0000 0.5000
Cl3 0.5000 0.5000 0.0000

Here is an optimized crystal structure of TlIrCl2 from the Alexandria database. Energies are from PBE.

Computed properties:
density of states at the Fermi level = 3.3 states/eV/cell
electronic total energy = -3.365 eV per atom
ΔE_f (raw) = 141 kJ/mol of formula units

abc: 3.3157 3.3157 8.2940
angles: 90.00 90.00 90.00
Atoms (fractional coordinates):
Tl1 0.0000 0.0000 0.0000
Ir1 0.5000 0.5000 0.7603
Cl1 0.0000 0.0000 0.6068
Cl2 0.5000 0.5000 0.2148

Here is an optimized crystal structure of TlVIrCl2 from the Alexandria database. Energies are from PBE.

Computed properties:
density of states at the Fermi level = 12.0 states/eV/cell
electronic total energy = -3.066 eV per atom
ΔE_f (raw) = 840 kJ/mol of formula units

abc: 5.0527 5.0527 5.9113
angles: 90.00 90.00 90.00
Atoms (fractional coordinates):
Tl1 0.0000 0.0000 0.0000
V1 0.0000 0.0000 0.5000
Ir1 0.5000 0.5000 0.5000
Cl1 0.0000 0.5000 0.0000
Cl2 0.5000 0.0000 0.0000

Here is an optimized crystal structure of TlZn2IrCl from the Alexandria database. Energies are from PBE.

Computed properties:
density of states at the Fermi level = 3.7 states/eV/cell
electronic total energy = -2.281 eV per atom
ΔE_f (raw) = 407 kJ/mol of formula units

abc: 4.9881 4.9881 4.5404
angles: 90.00 90.00 90.00
Atoms (fractional coordinates):
Tl1 0.0000 0.0000 0.0000
Zn1 0.0000 0.5000 0.5000
Zn2 0.5000 0.0000 0.5000
Ir1 0.5000 0.5000 0.0000
Cl1 0.5000 0.5000 0.5000

Here is an optimized crystal structure of Tl2ZnIrCl from the Alexandria database. Energies are from PBE.

Computed properties:
density of states at the Fermi level = 5.2 states/eV/cell
electronic total energy = -2.374 eV per atom
ΔE_f (raw) = 468 kJ/mol of formula units

abc: 5.7048 5.7048 4.6426
angles: 90.00 90.00 90.00
Atoms (fractional coordinates):
Tl1 0.0000 0.5000 0.0000
Tl2 0.5000 0.0000 0.0000
Zn1 0.0000 0.0000 0.5000
Ir1 0.5000 0.5000 0.5000
Cl1 0.0000 0.0000 0.0000

Here is an optimized crystal structure of Tm2IrCl from the Alexandria database. Energies are from PBE.

Computed properties:
density of states at the Fermi level = 0.6 states/eV/cell
electronic total energy = -6.118 eV per atom
ΔE_f (raw) = -465 kJ/mol of formula units

abc: 8.3258 8.3258 8.3258
angles: 28.75 28.75 28.75
Atoms (fractional coordinates):
Tm1 0.1102 0.1102 0.1102
Tm2 0.8898 0.8898 0.8898
Ir1 0.5000 0.5000 0.5000
Cl1 0.0000 0.0000 0.0000

Here is an optimized crystal structure of VIrCl2 from the Alexandria database. Energies are from PBE.

Computed properties:
density of states at the Fermi level = 3.8 states/eV/cell
electronic total energy = -5.422 eV per atom
ΔE_f (raw) = -1 kJ/mol of formula units

abc: 8.0604 8.0604 8.0604
angles: 21.58 21.58 21.58
Atoms (fractional coordinates):
V1 0.0000 0.0000 0.0000
Ir1 0.5000 0.5000 0.5000
Cl1 0.4018 0.4018 0.4018
Cl2 0.5982 0.5982 0.5982

Here is an optimized crystal structure of VIrCl from the Alexandria database. Energies are from PBE.

Computed properties:
density of states at the Fermi level = 7.0 states/eV/cell
electronic total energy = -7.012 eV per atom
ΔE_f (raw) = -117 kJ/mol of formula units

abc: 10.7107 10.7107 5.5790
angles: 97.41 97.41 22.21
Atoms (fractional coordinates):
V1 0.1588 0.1588 0.0754
V2 0.1635 0.1635 0.6056
V3 0.8365 0.8365 0.3944
V4 0.8412 0.8412 0.9246
Ir1 0.2685 0.2685 0.3835
Ir2 0.2735 0.2735 0.8890
Ir3 0.7265 0.7265 0.1110
Ir4 0.7315 0.7315 0.6165
Cl1 0.0739 0.0739 0.3078
Cl2 0.4072 0.4072 0.1802
Cl3 0.5928 0.5928 0.8198
Cl4 0.9261 0.9261 0.6922

Here is an optimized crystal structure of V2IrCl from the Alexandria database. Energies are from PBE.

Computed properties:
density of states at the Fermi level = 5.9 states/eV/cell
electronic total energy = -6.923 eV per atom
ΔE_f (raw) = 121 kJ/mol of formula units

abc: 4.3365 4.3365 4.3365
angles: 60.00 60.00 60.00
Atoms (fractional coordinates):
V1 0.2500 0.2500 0.2500
V2 0.7500 0.7500 0.7500
Ir1 0.0000 0.0000 0.0000
Cl1 0.5000 0.5000 0.5000